Material: NdDy8Tm6
Method: DFT, GGA-PBE
State: optimized geometry

Spin magnetization, μB per formula unit: 0.000
Total DFT energy (no corrections), eV/atom: -4.4228
Crystal system: trigonal
Calculated volume, A^3/atom: 31.63
SG: R-3 (148)

a b c (Å): 8.955 8.955 8.567
angles (deg): 58.49 58.49 60.00
Positions (direct):
Nd 0.000 0.000 0.000
Dy 0.255 0.281 0.575
Dy 0.719 0.111 0.425
Dy 0.111 0.745 0.425
Dy 0.577 0.577 0.270
Dy 0.423 0.423 0.730
Dy 0.889 0.255 0.575
Dy 0.281 0.889 0.575
Dy 0.745 0.719 0.425
Tm 0.463 0.895 0.880
Tm 0.105 0.238 0.120
Tm 0.238 0.537 0.120
Tm 0.762 0.463 0.880
Tm 0.895 0.762 0.880
Tm 0.537 0.105 0.120